1.
CsKTl2 | PBE | relaxed

ΔE to the lowest computed polymorph = 0.1347 eV/atom
Energy of formation from the pure elements = 0.06 eV/atom
Total energy = -1.61 eV/atom
DOS at the Fermi energy = 4.682 states/eV/cell

The structure in CIF format:
```
data_CsKTl2
_chemical_formula_sum 'Cs1 K1 Tl2'
_cell_length_a 4.0833
_cell_length_b 6.5637
_cell_length_c 6.5637
_cell_angle_alpha 90.00
_cell_angle_beta 90.00
_cell_angle_gamma 90.00
_symmetry_space_group_name_H-M 'P 1'
_symmetry_Int_Tables_number 1
_symmetry_space_group_name_Hall 'P 1'
loop_
_atom_site_label
_atom_site_type_symbol
_atom_site_fract_x
_atom_site_fract_y
_atom_site_fract_z
Cs1 Cs 0.5000 0.0000 0.0000
Tl1 Tl 0.0000 0.0000 0.5000
Tl2 Tl 0.0000 0.5000 0.0000
K1 K 0.5000 0.5000 0.5000
```



2.
SiC3Cl | PBE | relaxed

ΔE to the lowest computed polymorph = 0.0000 eV/atom
Total energy = -4.61 eV/atom
Uncorrected formation energy = 2.383 eV per atom
DOS at the Fermi energy = 3.912 states/eV/cell

The structure in CIF format:
```
data_SiC3Cl
_chemical_formula_sum 'Si1 C3 Cl1'
_cell_length_a 3.8634
_cell_length_b 3.8634
_cell_length_c 3.8634
_cell_angle_alpha 90.00
_cell_angle_beta 90.00
_cell_angle_gamma 90.00
_symmetry_space_group_name_H-M 'P 1'
_symmetry_Int_Tables_number 1
_symmetry_space_group_name_Hall 'P 1'
loop_
_atom_site_label
_atom_site_type_symbol
_atom_site_fract_x
_atom_site_fract_y
_atom_site_fract_z
Si1 Si 0.0000 0.0000 0.0000
C1 C 0.0000 0.5000 0.0000
C2 C 0.0000 0.0000 0.5000
C3 C 0.5000 0.0000 0.0000
Cl1 Cl 0.5000 0.5000 0.5000
```



3.
DyFeCo | PBE | relaxed

Energy of formation from the pure elements = -0.14 eV/atom
Total energy = -6.87 eV/atom
DOS at the Fermi energy = 18.584 states/eV/cell

The structure in CIF format:
```
data_DyFeCo
_chemical_formula_sum 'Dy6 Fe6 Co6'
_cell_length_a 5.1633
_cell_length_b 5.1633
_cell_length_c 12.6185
_cell_angle_alpha 78.19
_cell_angle_beta 78.19
_cell_angle_gamma 60.00
_symmetry_space_group_name_H-M 'P 1'
_symmetry_Int_Tables_number 1
_symmetry_space_group_name_Hall 'P 1'
loop_
_atom_site_label
_atom_site_type_symbol
_atom_site_fract_x
_atom_site_fract_y
_atom_site_fract_z
Dy1 Dy 0.7369 0.7369 0.7893
Dy2 Dy 0.2631 0.2631 0.2107
Dy3 Dy 0.0427 0.0427 0.8719
Dy4 Dy 0.9573 0.9573 0.1281
Dy5 Dy 0.1805 0.1805 0.4586
Dy6 Dy 0.8195 0.8195 0.5414
Co1 Co 0.2204 0.7221 0.3353
Co2 Co 0.7221 0.2204 0.3353
Co3 Co 0.7221 0.7221 0.3353
Co4 Co 0.7796 0.2779 0.6647
Co5 Co 0.2779 0.7796 0.6647
Co6 Co 0.2779 0.2779 0.6647
Fe1 Fe 0.3899 0.3899 0.8303
Fe2 Fe 0.6101 0.6101 0.1697
Fe3 Fe 0.0000 0.5000 0.0000
Fe4 Fe 0.5000 0.0000 0.0000
Fe5 Fe 0.5000 0.5000 0.0000
Fe6 Fe 0.5000 0.5000 0.5000
```



4.
K2CaFe | PBE | relaxed

ΔE to the lowest computed polymorph = 0.1030 eV/atom
Energy of formation from the pure elements = 0.68 eV/atom
Total energy = -2.48 eV/atom
DOS at the Fermi energy = 4.204 states/eV/cell

The structure in CIF format:
```
data_K2CaFe
_chemical_formula_sum 'K2 Ca1 Fe1'
_cell_length_a 5.5225
_cell_length_b 5.5225
_cell_length_c 9.9903
_cell_angle_alpha 75.24
_cell_angle_beta 75.24
_cell_angle_gamma 38.21
_symmetry_space_group_name_H-M 'P 1'
_symmetry_Int_Tables_number 1
_symmetry_space_group_name_Hall 'P 1'
loop_
_atom_site_label
_atom_site_type_symbol
_atom_site_fract_x
_atom_site_fract_y
_atom_site_fract_z
Ca1 Ca 0.5638 0.5638 0.3750
Fe1 Fe 0.2876 0.2876 0.3750
K1 K 0.9047 0.9047 0.0646
K2 K 0.7439 0.7439 0.6854
```



5.
NiAgS2 | PBE | relaxed

Total energy = -4.35 eV/atom
Uncorrected formation energy = -0.126 eV per atom
DOS at the Fermi energy = 9.020 states/eV/cell

The structure in CIF format:
```
data_NiAgS2
_chemical_formula_sum 'Ni2 Ag2 S4'
_cell_length_a 5.5482
_cell_length_b 5.5482
_cell_length_c 6.3975
_cell_angle_alpha 64.30
_cell_angle_beta 64.30
_cell_angle_gamma 90.00
_symmetry_space_group_name_H-M 'P 1'
_symmetry_Int_Tables_number 1
_symmetry_space_group_name_Hall 'P 1'
loop_
_atom_site_label
_atom_site_type_symbol
_atom_site_fract_x
_atom_site_fract_y
_atom_site_fract_z
Ni1 Ni 0.5000 0.5000 0.0000
Ni2 Ni 0.2500 0.7500 0.5000
S1 S 0.5688 0.1250 0.2500
S2 S 0.1812 0.6250 0.2500
S3 S 0.3750 0.4312 0.7500
S4 S 0.8750 0.8188 0.7500
Ag1 Ag 0.0000 0.0000 0.0000
Ag2 Ag 0.7500 0.2500 0.5000
```



6.
SrReAg2 | PBE | relaxed

ΔE to the lowest computed polymorph = 0.0179 eV/atom
Energy of formation from the pure elements = 0.69 eV/atom
Total energy = -4.27 eV/atom
DOS at the Fermi energy = 3.489 states/eV/cell

The structure in CIF format:
```
data_SrReAg2
_chemical_formula_sum 'Sr1 Re1 Ag2'
_cell_length_a 4.2482
_cell_length_b 2.8819
_cell_length_c 7.3900
_cell_angle_alpha 67.06
_cell_angle_beta 90.00
_cell_angle_gamma 90.00
_symmetry_space_group_name_H-M 'P 1'
_symmetry_Int_Tables_number 1
_symmetry_space_group_name_Hall 'P 1'
loop_
_atom_site_label
_atom_site_type_symbol
_atom_site_fract_x
_atom_site_fract_y
_atom_site_fract_z
Ag1 Ag 0.0000 0.9498 0.0497
Ag2 Ag 0.0000 0.5502 0.4503
Re1 Re 0.5000 0.2500 0.2500
Sr1 Sr 0.5000 0.7500 0.7500
```



7.
RbLa2Ir2 | PBE | relaxed

ΔE to the lowest computed polymorph = 0.0000 eV/atom
Energy of formation from the pure elements = -0.22 eV/atom
Total energy = -5.93 eV/atom
DOS at the Fermi energy = 4.826 states/eV/cell

The structure in CIF format:
```
data_RbLa2Ir2
_chemical_formula_sum 'Rb2 La4 Ir4'
_cell_length_a 8.5572
_cell_length_b 8.5572
_cell_length_c 3.7005
_cell_angle_alpha 90.00
_cell_angle_beta 90.00
_cell_angle_gamma 90.00
_symmetry_space_group_name_H-M 'P 1'
_symmetry_Int_Tables_number 1
_symmetry_space_group_name_Hall 'P 1'
loop_
_atom_site_label
_atom_site_type_symbol
_atom_site_fract_x
_atom_site_fract_y
_atom_site_fract_z
Ir1 Ir 0.3693 0.8693 0.0000
Ir2 Ir 0.8693 0.6307 0.0000
Ir3 Ir 0.6307 0.1307 0.0000
Ir4 Ir 0.1307 0.3693 0.0000
Rb1 Rb 0.0000 0.0000 0.0000
Rb2 Rb 0.5000 0.5000 0.0000
La1 La 0.1442 0.6442 0.5000
La2 La 0.6442 0.8558 0.5000
La3 La 0.8558 0.3558 0.5000
La4 La 0.3558 0.1442 0.5000
```



8.
PuHfIn2 | PBE | relaxed

ΔE to the lowest computed polymorph = 0.4307 eV/atom
Energy of formation from the pure elements = 0.26 eV/atom
Total energy = -7.18 eV/atom
DOS at the Fermi energy = 9.288 states/eV/cell

The structure in CIF format:
```
data_PuHfIn2
_chemical_formula_sum 'Pu1 Hf1 In2'
_cell_length_a 4.9716
_cell_length_b 4.9716
_cell_length_c 5.8832
_cell_angle_alpha 65.01
_cell_angle_beta 65.01
_cell_angle_gamma 60.00
_symmetry_space_group_name_H-M 'P 1'
_symmetry_Int_Tables_number 1
_symmetry_space_group_name_Hall 'P 1'
loop_
_atom_site_label
_atom_site_type_symbol
_atom_site_fract_x
_atom_site_fract_y
_atom_site_fract_z
Pu1 Pu 0.4864 0.4864 0.5407
Hf1 Hf 0.6859 0.6859 0.9423
In1 In 0.0573 0.0573 0.8281
In2 In 0.2704 0.2704 0.1889
```



9.
SbI5F6 | PBE | relaxed

Total energy = -3.26 eV/atom
Uncorrected formation energy = -1.340 eV per atom

The structure in CIF format:
```
data_SbI5F6
_chemical_formula_sum 'Sb3 I15 F18'
_cell_length_a 9.9617
_cell_length_b 9.0962
_cell_length_c 15.9167
_cell_angle_alpha 75.75
_cell_angle_beta 76.53
_cell_angle_gamma 54.33
_symmetry_space_group_name_H-M 'P 1'
_symmetry_Int_Tables_number 1
_symmetry_space_group_name_Hall 'P 1'
loop_
_atom_site_label
_atom_site_type_symbol
_atom_site_fract_x
_atom_site_fract_y
_atom_site_fract_z
F1 F 0.9534 0.9004 0.9250
F2 F 0.0466 0.0996 0.0750
F3 F 0.9304 0.2178 0.9155
F4 F 0.0696 0.7822 0.0845
F5 F 0.7771 0.1090 0.0559
F6 F 0.2229 0.8910 0.9441
F7 F 0.5989 0.1368 0.4520
F8 F 0.4011 0.8632 0.5480
F9 F 0.4478 0.4877 0.2434
F10 F 0.5522 0.5123 0.7566
F11 F 0.5641 0.4618 0.3893
F12 F 0.4359 0.5382 0.6107
F13 F 0.4881 0.1580 0.3066
F14 F 0.5119 0.8420 0.6934
F15 F 0.7518 0.1841 0.2907
F16 F 0.2482 0.8159 0.7093
F17 F 0.3025 0.4336 0.4049
F18 F 0.6975 0.5664 0.5951
I1 I 0.6689 0.7747 0.9047
I2 I 0.3311 0.2253 0.0953
I3 I 0.5754 0.6093 0.0575
I4 I 0.4246 0.3907 0.9425
I5 I 0.7566 0.6433 0.1622
I6 I 0.2434 0.3567 0.8378
I7 I 0.9355 0.6992 0.2599
I8 I 0.0645 0.3008 0.7401
I9 I 0.8118 0.6362 0.4242
I10 I 0.1882 0.3638 0.5758
I11 I 0.0000 0.0000 0.5000
I12 I 0.6994 0.0601 0.6111
I13 I 0.3006 0.9399 0.3889
I14 I 0.8128 0.9681 0.7691
I15 I 0.1872 0.0319 0.2309
Sb1 Sb 0.0000 0.0000 0.0000
Sb2 Sb 0.5281 0.3110 0.3457
Sb3 Sb 0.4719 0.6890 0.6543
```



10.
Ce8Bi5Sb | PBE | relaxed

Total energy = -5.79 eV/atom
Uncorrected formation energy = -0.722 eV per atom
DOS at the Fermi energy = 55.632 states/eV/cell

The structure in CIF format:
```
data_Ce8Bi5Sb
_chemical_formula_sum 'Ce8 Bi5 Sb1'
_cell_length_a 8.3607
_cell_length_b 8.3607
_cell_length_c 8.3607
_cell_angle_alpha 109.42
_cell_angle_beta 109.56
_cell_angle_gamma 109.42
_symmetry_space_group_name_H-M 'P 1'
_symmetry_Int_Tables_number 1
_symmetry_space_group_name_Hall 'P 1'
loop_
_atom_site_label
_atom_site_type_symbol
_atom_site_fract_x
_atom_site_fract_y
_atom_site_fract_z
Ce1 Ce 0.1260 0.7447 0.0208
Ce2 Ce 0.9792 0.1052 0.7238
Ce3 Ce 0.7802 0.2534 0.3803
Ce4 Ce 0.6197 0.3999 0.8731
Ce5 Ce 0.4732 0.6001 0.2198
Ce6 Ce 0.6186 0.8948 0.8740
Ce7 Ce 0.2762 0.2553 0.3814
Ce8 Ce 0.1269 0.7466 0.5268
Bi1 Bi 0.9969 0.3721 0.1221
Bi2 Bi 0.8779 0.8748 0.2501
Bi3 Bi 0.7499 0.6279 0.6248
Bi4 Bi 0.5000 0.0000 0.5000
Bi5 Bi 0.3752 0.1252 0.0031
Sb1 Sb 0.2500 0.5000 0.7500
```



11.
InGa2Ag2 | PBE | relaxed

ΔE to the lowest computed polymorph = 0.0398 eV/atom
Energy of formation from the pure elements = 0.08 eV/atom
Total energy = -2.82 eV/atom
DOS at the Fermi energy = 2.092 states/eV/cell

The structure in CIF format:
```
data_InGa2Ag2
_chemical_formula_sum 'In1 Ga2 Ag2'
_cell_length_a 4.1149
_cell_length_b 4.1149
_cell_length_c 6.7856
_cell_angle_alpha 72.35
_cell_angle_beta 72.35
_cell_angle_gamma 90.00
_symmetry_space_group_name_H-M 'P 1'
_symmetry_Int_Tables_number 1
_symmetry_space_group_name_Hall 'P 1'
loop_
_atom_site_label
_atom_site_type_symbol
_atom_site_fract_x
_atom_site_fract_y
_atom_site_fract_z
Ga1 Ga 0.3970 0.3970 0.2060
Ga2 Ga 0.6030 0.6030 0.7940
Ag1 Ag 0.7500 0.2500 0.5000
Ag2 Ag 0.2500 0.7500 0.5000
In1 In 0.0000 0.0000 0.0000
```



12.
KZnSb2 | PBE | relaxed

Total energy = -2.55 eV/atom
Uncorrected formation energy = 0.105 eV per atom
DOS at the Fermi energy = 2.222 states/eV/cell

The structure in CIF format:
```
data_KZnSb2
_chemical_formula_sum 'K1 Zn1 Sb2'
_cell_length_a 5.8089
_cell_length_b 5.8089
_cell_length_c 5.8089
_cell_angle_alpha 130.22
_cell_angle_beta 130.22
_cell_angle_gamma 73.05
_symmetry_space_group_name_H-M 'P 1'
_symmetry_Int_Tables_number 1
_symmetry_space_group_name_Hall 'P 1'
loop_
_atom_site_label
_atom_site_type_symbol
_atom_site_fract_x
_atom_site_fract_y
_atom_site_fract_z
K1 K 0.7500 0.2500 0.5000
Sb1 Sb 0.0000 0.0000 0.0000
Sb2 Sb 0.2500 0.7500 0.5000
Zn1 Zn 0.5000 0.5000 0.0000
```



no.,magnetization (μB per atom)
1,0.00
2,0.20
3,0.94
4,0.52
5,0.00
6,0.22
7,0.00
8,1.71
9,0.00
10,0.97
11,0.00
12,0.00